# PBE with a Hubbard U Ba6Nb9CoO30, relaxed
# * total magnetization: 4.0 Bohr magnetons per cell
# * space-group type: Cmm2
# * uncorrected energy: -378.100 eV/cell
data_Ba6Nb9CoO30
_space_group_name_H-M_alt 'P 1'
_space_group_IT_number 1
_cell_length_a 12.7560
_cell_length_b 12.7560
_cell_length_c 4.1129
_cell_angle_alpha 90.00
_cell_angle_beta 90.00
_cell_angle_gamma 90.09
loop_
_space_group_symop_operation_xyz
'x,y,z'
loop_
_atom_site_label
_atom_site_type_symbol
_atom_site_fract_x
_atom_site_fract_y
_atom_site_fract_z
_atom_site_occupancy
Ba1 Ba 0.0000 0.5000 0.9805 1
Ba2 Ba 0.1729 0.8271 0.0000 1
Ba3 Ba 0.3425 0.3425 0.9933 1
Ba4 Ba 0.5000 0.0000 0.9805 1
Ba5 Ba 0.6575 0.6575 0.9933 1
Ba6 Ba 0.8271 0.1729 0.0000 1
Nb1 Nb 0.0000 0.0000 0.5592 1
Nb2 Nb 0.0761 0.2878 0.4608 1
Nb3 Nb 0.2186 0.5738 0.4652 1
Nb4 Nb 0.2878 0.0761 0.4608 1
Nb5 Nb 0.4262 0.7814 0.4652 1
Nb6 Nb 0.5738 0.2186 0.4652 1
Nb7 Nb 0.7122 0.9239 0.4608 1
Nb8 Nb 0.7814 0.4262 0.4652 1
Nb9 Nb 0.9239 0.7122 0.4608 1
Co1 Co 0.5000 0.5000 0.5616 1
O1 O 0.0000 0.0000 0.0097 1
O2 O 0.0057 0.8444 0.5050 1
O3 O 0.0655 0.6421 0.5024 1
O4 O 0.0791 0.2932 0.0046 1
O5 O 0.1390 0.4335 0.5031 1
O6 O 0.1556 0.9943 0.5050 1
O7 O 0.2063 0.5808 0.0038 1
O8 O 0.2192 0.2192 0.5052 1
O9 O 0.2793 0.7207 0.5057 1
O10 O 0.2932 0.0791 0.0046 1
O11 O 0.3415 0.4940 0.4970 1
O12 O 0.3579 0.9345 0.5024 1
O13 O 0.4192 0.7937 0.0038 1
O14 O 0.4335 0.1390 0.5031 1
O15 O 0.4940 0.3415 0.4970 1
O16 O 0.5000 0.5000 0.9879 1
O17 O 0.5060 0.6585 0.4970 1
O18 O 0.5665 0.8610 0.5031 1
O19 O 0.5808 0.2063 0.0038 1
O20 O 0.6421 0.0655 0.5024 1
O21 O 0.6585 0.5060 0.4970 1
O22 O 0.7068 0.9209 0.0046 1
O23 O 0.7207 0.2793 0.5057 1
O24 O 0.7808 0.7808 0.5052 1
O25 O 0.7937 0.4192 0.0038 1
O26 O 0.8444 0.0057 0.5050 1
O27 O 0.8610 0.5665 0.5031 1
O28 O 0.9209 0.7068 0.0046 1
O29 O 0.9345 0.3579 0.5024 1
O30 O 0.9943 0.1556 0.5050 1